1.
Here is crystalline BaY3H at its relaxed geometry from the Alexandria database. Energies are from PBE. Values from VASP.

## Properties
Fermi-level density of states, states/eV/atom: 0.792
Energy above the most stable polymorph in this dataset, meV per atom: 1596

The structure in Quantum ESPRESSO input format:
```
&SYSTEM
  ibrav = 0, nat = 5, ntyp = 3
/
ATOMIC_SPECIES
Ba 137.33 Ba.upf
H 1.01 H.upf
Y 88.91 Y.upf
ATOMIC_POSITIONS crystal
Ba 0.000 0.000 0.000
H 0.500 0.500 0.500
Y 0.000 0.500 0.000
Y 0.500 0.000 0.000
Y 0.000 0.000 0.500
CELL_PARAMETERS angstrom
5.832 0.000 0.000
0.000 5.832 0.000
0.000 0.000 5.832
```

2.
Here is crystalline BaYH2 at its relaxed geometry from the Alexandria database. Energies are from PBE. Values from VASP.

## Properties
Fermi-level density of states, states/eV/atom: 0.771
Energy above the most stable polymorph in this dataset, meV per atom: 0

The structure in Quantum ESPRESSO input format:
```
&SYSTEM
  ibrav = 0, nat = 8, ntyp = 3
/
ATOMIC_SPECIES
H 1.01 H.upf
Y 88.91 Y.upf
Ba 137.33 Ba.upf
ATOMIC_POSITIONS crystal
H 0.201 0.625 0.250
H 0.875 0.799 0.750
H 0.549 0.125 0.250
H 0.375 0.451 0.750
Y 0.500 0.500 0.000
Y 0.250 0.750 0.500
Ba 0.000 0.000 0.000
Ba 0.750 0.250 0.500
CELL_PARAMETERS angstrom
5.758 0.000 0.000
0.000 5.758 0.000
2.879 2.879 5.350
```

3.
Here is crystalline BaY3H at its relaxed geometry from the Alexandria database. Energies are from PBE. Values from VASP.

## Properties
Fermi-level density of states, states/eV/atom: 1.285
Energy above the most stable polymorph in this dataset, meV per atom: 0

The structure in Quantum ESPRESSO input format:
```
&SYSTEM
  ibrav = 0, nat = 5, ntyp = 3
/
ATOMIC_SPECIES
Y 88.91 Y.upf
H 1.01 H.upf
Ba 137.33 Ba.upf
ATOMIC_POSITIONS crystal
Y 0.500 0.000 0.000
Y 0.000 0.500 0.000
Y 0.000 0.000 0.500
H 0.000 0.000 0.000
Ba 0.500 0.500 0.500
CELL_PARAMETERS angstrom
-3.214 -3.970 1.078
1.840 -2.611 -4.129
3.679 -2.163 3.007
```

4.
Here is crystalline BaY2H2 at its relaxed geometry from the Alexandria database. Energies are from PBE. Values from VASP.

## Properties
Fermi-level density of states, states/eV/atom: 0.744

The structure in Quantum ESPRESSO input format:
```
&SYSTEM
  ibrav = 0, nat = 5, ntyp = 3
/
ATOMIC_SPECIES
Y 88.91 Y.upf
H 1.01 H.upf
Ba 137.33 Ba.upf
ATOMIC_POSITIONS crystal
Y 0.316 0.316 0.367
Y 0.684 0.684 0.633
H 0.250 0.750 0.500
H 0.750 0.250 0.500
Ba 0.000 0.000 0.000
CELL_PARAMETERS angstrom
-1.471 3.373 -0.368
-1.929 -1.162 -2.934
-8.622 -1.312 3.855
```

Calculated values (eV/atom) of calculated total energy for the records, taken in order: -3.2981; -4.0031; -4.8940; -4.6149.